No. 1
Entry from Alexandria: SmDy2Cu2Ge2 after structural relaxation (GGA-PBE).

Summary:
* formation energy from the elements: -0.4943 eV per atom

The structure in CIF format:
```
data_SmDy2Cu2Ge2
_chemical_formula_sum 'Sm3 Dy6 Cu6 Ge6'
_cell_length_a 4.2866
_cell_length_b 4.2866
_cell_length_c 28.5563
_cell_angle_alpha 90.00
_cell_angle_beta 90.00
_cell_angle_gamma 120.00
_space_group_name_H-M_alt 'R -3 m'
_space_group_IT_number 166
_space_group_name_Hall '-R 3 2"'
loop_
_atom_site_label
_atom_site_fract_x
_atom_site_fract_y
_atom_site_fract_z
Sm1 0.0000 0.0000 0.0000
Dy1 0.0000 0.0000 0.1259
Cu1 0.0000 0.0000 0.4004
Ge1 0.0000 0.0000 0.2634
```

No. 2
Entry from Alexandria: ScCdSb2Ir after structural relaxation (GGA-PBE).

Summary:
* ΔE_f (raw): 1168 meV/atom

The structure in CIF format:
```
data_ScCdSb2Ir
_chemical_formula_sum 'Sc1 Cd1 Sb2 Ir1'
_cell_length_a 5.2903
_cell_length_b 5.2903
_cell_length_c 5.2555
_cell_angle_alpha 90.00
_cell_angle_beta 90.00
_cell_angle_gamma 90.00
_space_group_name_H-M_alt 'P 4/m m m'
_space_group_IT_number 123
_space_group_name_Hall '-P 4 2'
loop_
_atom_site_label
_atom_site_fract_x
_atom_site_fract_y
_atom_site_fract_z
Sc1 0.0000 0.0000 0.0000
Cd1 0.0000 0.0000 0.5000
Sb1 0.0000 0.5000 0.0000
Ir1 0.5000 0.5000 0.5000
```

Respective volume values: 151; 147 Å³/f.u..